VASP calculation (PBE-GGA) on a geometry-optimized Li2HOs2 structure.

a b c (Å): 5.1373 5.1373 4.6698
angles (deg): 90.00 90.00 90.00
Last column: nearest neighbours and their distance in Å.
Fractional coordinates of all 10 atoms:
Li: 0.1636 0.3364 0.0000  1 Li 2.38, 2 Os 2.61
Li: 0.3364 0.8364 0.0000  1 Li 2.38, 2 Os 2.61
Li: 0.6636 0.1636 0.0000  1 Li 2.38, 2 Os 2.61
Li: 0.8364 0.6636 0.0000  1 Li 2.38, 2 Os 2.61
H: 0.0000 0.0000 0.5000  4 Os 1.89
H: 0.5000 0.5000 0.5000  4 Os 1.89
Os: 0.1773 0.6773 0.5000  2 H 1.89
Os: 0.3227 0.1773 0.5000  2 H 1.89
Os: 0.6773 0.8227 0.5000  2 H 1.89
Os: 0.8227 0.3227 0.5000  2 H 1.89

Values from the calculation:
Raw total energy ... -5.6451 eV per atom
Excess energy over the best structure of this formula in the dataset ... 0.0 meV per atom
Magnetization ... 0.00 μB/cell